# 1
Below is V2PdCl after structural relaxation, with properties calculated at the PBE level.

Cell: 5.439 5.439 5.439 Å, 106.54 106.54 115.50°
Atoms (fractional coordinates):
V 0.085 0.625 0.960
V 0.375 0.335 0.460
V 0.665 0.125 0.040
V 0.875 0.915 0.540
Pd 0.250 0.750 0.500
Pd 0.500 0.500 0.000
Cl 0.000 0.000 0.000
Cl 0.750 0.250 0.500

The energy above the lowest structure with this stoichiometry is 0 meV/atom. The formation energy from raw total energies is 133 kJ/mol of formula units. As for the calculated volume: 122.8 Å³ per cell. The density of states at the Fermi level is 1.128 states/eV/atom.

***

# 2
Below is AcNi5Sn after structural relaxation, with properties calculated at the PBE level.

Cell: 8.270 5.073 10.501 Å, 90.00 90.00 90.00°
Atoms (fractional coordinates):
Ac 0.249 0.250 0.056
Ac 0.251 0.750 0.556
Ac 0.749 0.250 0.444
Ac 0.751 0.750 0.944
Ni 0.059 0.750 0.108
Ni 0.067 0.501 0.309
Ni 0.067 0.999 0.309
Ni 0.087 0.250 0.518
Ni 0.182 0.250 0.748
Ni 0.318 0.750 0.248
Ni 0.413 0.750 0.018
Ni 0.433 0.001 0.809
Ni 0.433 0.499 0.809
Ni 0.441 0.250 0.608
Ni 0.559 0.750 0.392
Ni 0.567 0.501 0.191
Ni 0.567 0.999 0.191
Ni 0.587 0.250 0.982
Ni 0.682 0.250 0.752
Ni 0.818 0.750 0.252
Ni 0.913 0.750 0.482
Ni 0.933 0.001 0.691
Ni 0.933 0.499 0.691
Ni 0.941 0.250 0.892
Sn 0.145 0.750 0.859
Sn 0.355 0.250 0.359
Sn 0.645 0.750 0.641
Sn 0.855 0.250 0.141

The calculation puts the energy of formation at -0.25 eV/atom. As for the calculated volume: 440.5 Å³ per cell. The density of states at the Fermi level is 1.015 states/eV/atom.

***

# 3
Below is Nd6Y12In after structural relaxation, with properties calculated at the PBE level.

Cell: 8.566 8.566 8.566 Å, 89.06 89.06 89.06°
Atoms (fractional coordinates):
Nd 0.199 0.760 0.593
Nd 0.240 0.407 0.801
Nd 0.407 0.801 0.240
Nd 0.593 0.199 0.760
Nd 0.760 0.593 0.199
Nd 0.801 0.240 0.407
Y 0.038 0.936 0.279
Y 0.064 0.721 0.962
Y 0.140 0.486 0.316
Y 0.279 0.038 0.936
Y 0.316 0.140 0.486
Y 0.486 0.316 0.140
Y 0.514 0.684 0.860
Y 0.684 0.860 0.514
Y 0.721 0.962 0.064
Y 0.860 0.514 0.684
Y 0.936 0.279 0.038
Y 0.962 0.064 0.721
In 0.500 0.500 0.500

The calculation puts the energy of formation at 0.06 eV/atom. As for the calculated volume: 628.4 Å³ per cell. The density of states at the Fermi level is 1.335 states/eV/atom.

***

# 4
Below is CsTa3Al after structural relaxation, with properties calculated at the PBE level.

Cell: 4.983 4.983 4.983 Å, 90.00 90.00 90.00°
Atoms (fractional coordinates):
Cs 0.000 0.000 0.000
Ta 0.000 0.500 0.500
Ta 0.500 0.000 0.500
Ta 0.500 0.500 0.000
Al 0.500 0.500 0.500

The energy above the lowest structure with this stoichiometry is 0 meV/atom. The calculation puts the energy of formation at 1.98 eV/atom. As for the calculated volume: 123.7 Å³ per cell. The density of states at the Fermi level is 2.343 states/eV/atom.

***

# 5
Below is Mn2H2Rh after structural relaxation, with properties calculated at the PBE level.

Cell: 5.632 5.632 2.638 Å, 90.00 90.00 90.00°
Atoms (fractional coordinates):
Mn 0.124 0.376 0.000
Mn 0.376 0.876 0.000
Mn 0.624 0.124 0.000
Mn 0.876 0.624 0.000
H 0.147 0.647 0.500
H 0.353 0.147 0.500
H 0.647 0.853 0.500
H 0.853 0.353 0.500
Rh 0.000 0.000 0.500
Rh 0.500 0.500 0.500

The energy above the lowest structure with this stoichiometry is 232 meV/atom. As for the calculated volume: 83.7 Å³ per cell. The density of states at the Fermi level is 0.676 states/eV/atom.

***

# 6
Below is CsTe6PdAu after structural relaxation, with properties calculated at the PBE level.

Cell: 9.671 9.671 9.671 Å, 122.90 117.67 89.57°
Atoms (fractional coordinates):
Cs 0.385 0.135 0.250
Cs 0.615 0.865 0.750
Te 0.104 0.404 0.238
Te 0.104 0.866 0.700
Te 0.108 0.858 0.250
Te 0.334 0.134 0.738
Te 0.334 0.596 0.200
Te 0.340 0.590 0.750
Te 0.660 0.410 0.250
Te 0.666 0.404 0.800
Te 0.666 0.866 0.262
Te 0.892 0.142 0.750
Te 0.896 0.134 0.300
Te 0.896 0.596 0.762
Pd 0.000 0.000 0.500
Pd 0.000 0.500 0.000
Au 0.000 0.500 0.500
Au 0.500 0.500 0.000

The formation energy from raw total energies is -168 kJ/mol of formula units. As for the calculated volume: 635.2 Å³ per cell. The density of states at the Fermi level is 0.432 states/eV/atom.

***

# 7
Below is Nd2ZnAs after structural relaxation, with properties calculated at the PBE level.

Cell: 10.028 10.028 10.028 Å, 23.24 23.24 23.24°
Atoms (fractional coordinates):
Nd 0.108 0.108 0.108
Nd 0.892 0.892 0.892
Zn 0.000 0.000 0.000
As 0.500 0.500 0.500

The energy above the lowest structure with this stoichiometry is 365 meV/atom. The calculation puts the energy of formation at -0.38 eV/atom. As for the calculated volume: 137.8 Å³ per cell. The density of states at the Fermi level is 1.236 states/eV/atom.

***

# 8
Below is Ag2SnAu2 after structural relaxation, with properties calculated at the PBE level.

Cell: 4.642 4.642 5.604 Å, 90.06 90.06 117.03°
Atoms (fractional coordinates):
Ag 0.171 0.829 0.000
Ag 0.829 0.171 0.000
Sn 0.000 0.000 0.500
Au 0.499 0.499 0.247
Au 0.501 0.501 0.753

The energy above the lowest structure with this stoichiometry is 58 meV/atom. The calculation puts the energy of formation at 0.04 eV/atom. As for the calculated volume: 107.5 Å³ per cell. The density of states at the Fermi level is 0.347 states/eV/atom.

***

> calculated volume of number 5 (Mn2H2Rh)?

83.7 Å³ per cell

***

> Which of these has the highest calculated volume?

CsTe6PdAu

***

Repeat the third record exactly.
Below is Nd6Y12In after structural relaxation, with properties calculated at the PBE level.

Cell: 8.566 8.566 8.566 Å, 89.06 89.06 89.06°
Atoms (fractional coordinates):
Nd 0.199 0.760 0.593
Nd 0.240 0.407 0.801
Nd 0.407 0.801 0.240
Nd 0.593 0.199 0.760
Nd 0.760 0.593 0.199
Nd 0.801 0.240 0.407
Y 0.038 0.936 0.279
Y 0.064 0.721 0.962
Y 0.140 0.486 0.316
Y 0.279 0.038 0.936
Y 0.316 0.140 0.486
Y 0.486 0.316 0.140
Y 0.514 0.684 0.860
Y 0.684 0.860 0.514
Y 0.721 0.962 0.064
Y 0.860 0.514 0.684
Y 0.936 0.279 0.038
Y 0.962 0.064 0.721
In 0.500 0.500 0.500

The calculation puts the energy of formation at 0.06 eV/atom. As for the calculated volume: 628.4 Å³ per cell. The density of states at the Fermi level is 1.335 states/eV/atom.

***

> The lowest calculated volume belongs to which entry?

Mn2H2Rh